# Cr3W20C6 | Alexandria | PBE | relaxed
data_Cr3W20C6
_chemical_formula_sum 'Cr12 W80 C24'
_cell_length_a 11.603
_cell_length_b 11.603
_cell_length_c 11.603
_cell_angle_alpha 90.00
_cell_angle_beta 90.00
_cell_angle_gamma 90.00
_space_group_name_H-M_alt 'F m -3 m'
_space_group_IT_number 225
_space_group_name_Hall '-F 4 2 3'
loop_
_atom_site_label
_atom_site_type_symbol
_atom_site_fract_x
_atom_site_fract_y
_atom_site_fract_z
Cr1 Cr 0.000 0.000 0.000
Cr2 Cr 0.250 0.250 0.250
W1 W 0.000 0.168 0.168
W2 W 0.120 0.120 0.380
C1 C 0.000 0.000 0.279
# Total energy (eV/atom): -11.661
# DFT formation energy (eV per atom): 0.176
# Spin magnetization (μB/f.u.): 0.609
# Fermi-level density of states (states/eV/cell): 61.1